DFT (PBE) results for a relaxed structure of LaGaPdN2.

a = 4.165 Å, b = 4.634 Å, c = 4.165 Å
α = 90.00°, β = 90.00°, γ = 90.00°
Atoms (fractional coordinates):
Ga  0.000  0.000  0.000
La  0.500  0.500  0.500
Pd  0.000  0.500  0.000
N  0.500  0.000  0.000
N  0.000  0.000  0.500

Calculated values
Formation energy from raw total energies = 1.301 eV per formula unit
Theoretical density = 7.09 Mg/m³
E_tot = -5.6994 eV per atom

=====

DFT (PBE) results for a relaxed structure of MnFe5Rh6.

a = 3.966 Å, b = 7.107 Å, c = 7.107 Å
α = 111.84°, β = 106.19°, γ = 106.19°
Atoms (fractional coordinates):
Fe  0.500  0.500  0.500
Fe  0.000  0.349  0.651
Fe  0.500  0.183  0.817
Fe  0.500  0.817  0.183
Fe  0.000  0.651  0.349
Rh  0.237  0.404  0.070
Rh  0.237  0.070  0.404
Rh  0.763  0.930  0.596
Rh  0.274  0.774  0.774
Rh  0.763  0.596  0.930
Rh  0.726  0.226  0.226
Mn  0.000  0.000  0.000

Calculated values
Energy of formation = -0.02 eV per atom
Theoretical density = 9.80 Mg/m³
E_tot = -7.9880 eV per atom

=====

DFT (PBE) results for a relaxed structure of Tb2NdP3Rh12.

a = 6.733 Å, b = 6.733 Å, c = 6.733 Å
α = 84.11°, β = 84.11°, γ = 84.11°
Atoms (fractional coordinates):
Rh  0.340  0.819  0.819
Rh  0.908  0.370  0.370
Rh  0.092  0.630  0.630
Rh  0.181  0.660  0.181
Rh  0.370  0.370  0.908
Rh  0.370  0.908  0.370
Rh  0.819  0.819  0.340
Rh  0.630  0.630  0.092
Rh  0.819  0.340  0.819
Rh  0.660  0.181  0.181
Rh  0.181  0.181  0.660
Rh  0.630  0.092  0.630
P  0.500  0.000  0.000
P  0.000  0.000  0.500
P  0.000  0.500  0.000
Nd  0.000  0.000  0.000
Tb  0.372  0.372  0.372
Tb  0.628  0.628  0.628

Calculated values
Energy of formation = -0.38 eV per atom
Theoretical density = 9.89 Mg/m³
E_tot = -6.9619 eV per atom

=====

DFT (PBE) results for a relaxed structure of MgSnCl.

a = 3.460 Å, b = 3.431 Å, c = 16.416 Å
α = 90.00°, β = 90.00°, γ = 120.29°
Atoms (fractional coordinates):
Mg  0.332  0.664  0.500
Mg  0.556  0.112  0.000
Sn  0.667  0.335  0.647
Sn  0.667  0.335  0.353
Cl  0.222  0.444  0.905
Cl  0.222  0.444  0.095

Calculated values
Formation energy from raw total energies = -2.314 eV per formula unit
Theoretical density = 3.52 Mg/m³
E_tot = -3.2526 eV per atom

=====

Please write out number 1 again, unchanged.
DFT (PBE) results for a relaxed structure of LaGaPdN2.

a = 4.165 Å, b = 4.634 Å, c = 4.165 Å
α = 90.00°, β = 90.00°, γ = 90.00°
Atoms (fractional coordinates):
Ga  0.000  0.000  0.000
La  0.500  0.500  0.500
Pd  0.000  0.500  0.000
N  0.500  0.000  0.000
N  0.000  0.000  0.500

Calculated values
Formation energy from raw total energies = 1.301 eV per formula unit
Theoretical density = 7.09 Mg/m³
E_tot = -5.6994 eV per atom